Here is crystalline Sr2LaSn3Pd4 at its relaxed geometry from the Alexandria database. Energies are from PBE.

```
Sr2LaSn3Pd4
1.0
-4.698 -0.619 -0.395
0.012 -2.624 3.965
-1.733 9.241 6.121
Pd Sr La Sn
4 2 1 3
direct
0.500 0.500 0.000 Pd
0.000 0.500 0.353 Pd
0.500 0.000 0.647 Pd
0.000 0.000 0.000 Pd
0.500 0.000 0.222 Sr
0.000 0.500 0.778 Sr
0.500 0.500 0.500 La
0.500 0.000 0.884 Sn
0.000 0.500 0.116 Sn
0.000 0.000 0.500 Sn
```

Results
Calculated total energy (eV per atom): -4.87
Size of the total moment (μB/f.u.): 0.000